# 1
# CaNiP, optimized geometry, DFT GGA-PBE
data_CaNiP
_chemical_formula_sum 'Ca4 Ni4 P4'
_symmetry_space_group_name_H-M 'P 1'
_symmetry_Int_Tables_number 1
_cell_length_a 5.604
_cell_length_b 3.914
_cell_length_c 10.610
_cell_angle_alpha 90.00
_cell_angle_beta 104.59
_cell_angle_gamma 90.00
loop_
_symmetry_equiv_pos_as_xyz
'x,y,z'
loop_
_atom_site_label
_atom_site_fract_x
_atom_site_fract_y
_atom_site_fract_z
_atom_site_occupancy
Ca1 0.809 0.000 0.104 1
Ca2 0.191 0.000 0.896 1
Ca3 0.809 0.500 0.604 1
Ca4 0.191 0.500 0.396 1
Ni1 0.626 0.000 0.794 1
Ni2 0.374 0.000 0.206 1
Ni3 0.626 0.500 0.294 1
Ni4 0.374 0.500 0.706 1
P1 0.734 0.000 0.377 1
P2 0.266 0.000 0.623 1
P3 0.734 0.500 0.877 1
P4 0.266 0.500 0.123 1
# - Crystal system: monoclinic
# - Space-group type: No. 12

# 2
# LiCu3Pd, optimized geometry, DFT GGA-PBE
data_LiCu3Pd
_chemical_formula_sum 'Li1 Cu3 Pd1'
_symmetry_space_group_name_H-M 'P 1'
_symmetry_Int_Tables_number 1
_cell_length_a 4.029
_cell_length_b 4.029
_cell_length_c 4.029
_cell_angle_alpha 90.00
_cell_angle_beta 90.00
_cell_angle_gamma 90.00
loop_
_symmetry_equiv_pos_as_xyz
'x,y,z'
loop_
_atom_site_label
_atom_site_fract_x
_atom_site_fract_y
_atom_site_fract_z
_atom_site_occupancy
Cu1 0.000 0.500 0.000 1
Cu2 0.000 0.000 0.500 1
Cu3 0.500 0.000 0.000 1
Pd1 0.500 0.500 0.500 1
Li1 0.000 0.000 0.000 1
# - Crystal system: cubic
# - Space-group type: No. 221
# - ΔE to the lowest computed polymorph: 0.482 eV per atom

The records above give, respectively, ΔE_f values of -842; 476 meV per atom.